Record 1
Here is a relaxed YbB6 crystal from Alexandria via LeMat-Bulk. Energies are from PBE.

Cell: 4.1276 4.1276 4.1276 Å, 90.00 90.00 90.00°
Last column: nearest neighbours and their distance in Å.
Space group Pm-3m (No. 221)
One atom of each set of equivalent atoms:
Yb 0.0000 0.0000 0.0000  24 B 3.03
B 0.2006 0.5000 0.5000  5 B 1.66-1.75

Values from the calculation:
E_form, eV per atom: -0.425
Size of the total moment, μB/cell: 0.25
Total energy, eV/atom: -6.367

Record 2
Here is a relaxed LaSmEuSc crystal from Alexandria via LeMat-Bulk. Energies are from PBE.

Cell: 8.1125 8.1125 8.1125 Å, 90.00 90.00 90.00°
Last column: nearest neighbours and their distance in Å.
Space group F-43m (No. 216)
One atom of each set of equivalent atoms:
La 0.0000 0.0000 0.0000  4 Sc 3.51, 4 Eu 3.51
Sm 0.0000 0.0000 0.5000  4 Eu 3.51, 4 Sc 3.51
Eu 0.2500 0.2500 0.7500  4 La 3.51, 4 Sm 3.51
Sc 0.2500 0.2500 0.2500  4 Sm 3.51, 4 La 3.51

Values from the calculation:
E_form, eV per atom: 0.142
Size of the total moment, μB/cell: 30.38
Total energy, eV/atom: -6.421

Record 3
Here is a relaxed Sr2NpGeN5 crystal from Alexandria via LeMat-Bulk. Energies are from PBE.

Cell: 3.4715 14.4151 11.4849 Å, 90.00 90.00 90.00°
Last column: nearest neighbours and their distance in Å.
Space group Cmc2_1 (No. 36)
One atom of each set of equivalent atoms:
Sr 0.0000 0.0876 0.0000  6 N 2.60-2.86
Sr 0.0000 0.1318 0.6617  5 N 2.60-2.76
Np 0.0000 0.2110 0.3691  3 N 1.92-2.15
Ge 0.0000 0.4394 0.7623  2 N 1.78-1.95
N 0.0000 0.0581 0.3553  2 Ge 2.04, 1 Np 2.21
N 0.0000 0.2850 0.9787  2 Np 2.15
N 0.0000 0.3046 0.7507  1 Ge 1.95
N 0.0000 0.3426 0.3454  1 Np 1.92
N 0.0000 0.4998 0.1279  1 Ge 1.78

Values from the calculation:
Uncorrected formation energy, meV/atom: -659
Size of the total moment, μB/cell: 0.00
Total energy, eV/atom: -7.609

Record 4
Here is a relaxed Li2TmCd10 crystal from Alexandria via LeMat-Bulk. Energies are from PBE.

Cell: 5.7538 13.7978 14.0262 Å, 90.00 90.00 90.00°
Last column: nearest neighbours and their distance in Å.
Space group Fmmm (No. 69)
One atom of each set of equivalent atoms:
Li 0.2500 0.0000 0.2500  8 Cd 2.80-2.89, 2 Li 2.88
Tm 0.0000 0.0000 0.0000  16 Cd 3.38-3.74
Cd 0.0000 0.1030 0.3881  2 Li 2.80, 4 Cd 2.84-3.08
Cd 0.0000 0.1658 0.1776  2 Li 2.89, 6 Cd 3.08-3.14
Cd 0.2500 0.2500 0.0000  10 Cd 2.88-3.10

Values from the calculation:
E_form, eV per atom: -0.138
Size of the total moment, μB/cell: 0.00
Total energy, eV/atom: -1.481

Record 5
Here is a relaxed CoPb2Cl crystal from Alexandria via LeMat-Bulk. Energies are from PBE.

Cell: 3.4438 6.0340 9.6043 Å, 90.00 90.00 90.00°
Last column: nearest neighbours and their distance in Å.
Space group Cmm2 (No. 35)
One atom of each set of equivalent atoms:
Co 0.0000 0.0000 0.0000  2 Cl 2.27
Pb 0.0000 0.0000 0.5312  8 Pb 3.42-3.47, 2 Cl 3.48
Pb 0.0000 0.5000 0.2237  2 Co 2.75
Cl 0.0000 0.5000 0.8460  2 Co 2.27

Values from the calculation:
Uncorrected formation energy, meV/atom: 118
Size of the total moment, μB/cell: 3.77
Total energy, eV/atom: -3.975

Record 6
Here is a relaxed PaCrInS4 crystal from Alexandria via LeMat-Bulk. Energies are from PBE.

Cell: 7.4075 8.7553 10.0256 Å, 90.00 90.00 90.00°
Last column: nearest neighbours and their distance in Å.
Space group Imma (No. 74)
One atom of each set of equivalent atoms:
Pa 0.0000 0.0000 0.0000  6 S 2.69-2.77
Cr 0.2500 0.2500 0.2500  6 S 2.44-2.49
In 0.0000 0.2500 0.6899  4 S 2.78-2.84
S 0.0000 0.0692 0.2613  2 Cr 2.44, 1 Pa 2.69
S 0.2296 0.2500 0.0021  1 Cr 2.49, 2 Pa 2.77, 1 In 2.78

Values from the calculation:
Uncorrected formation energy, meV/atom: -936
Size of the total moment, μB/cell: 15.92
Total energy, eV/atom: -6.417

Record 7
Here is a relaxed Tb3Tm2ThS6 crystal from Alexandria via LeMat-Bulk. Energies are from PBE.

Cell: 17.0538 3.9107 7.8754 Å, 90.00 102.75 90.00°
Last column: nearest neighbours and their distance in Å.
Space group C2/m (No. 12)
One atom of each set of equivalent atoms:
Tb 0.0000 0.0000 0.0000  6 S 2.72-2.82
Tb 0.1617 0.5000 0.3339  6 S 2.75-2.83
Tm 0.1650 0.5000 0.8302  6 S 2.68-2.76
Th 0.0000 0.0000 0.5000  6 S 2.83-2.86
S 0.0036 0.5000 0.7616  1 Tm 2.68, 3 Tb 2.72-2.75, 2 Th 2.83
S 0.1697 0.0000 0.0789  3 Tm 2.75-2.76, 3 Tb 2.82-2.83
S 0.1722 0.0000 0.5926  2 Tm 2.73, 3 Tb 2.76-2.80, 1 Th 2.86

Values from the calculation:
Uncorrected formation energy, meV/atom: -1943
Size of the total moment, μB/cell: 0.00
Total energy, eV/atom: -6.528

Record 8
Here is a relaxed CsTmBr3 crystal from Alexandria via LeMat-Bulk. Energies are from PBE.

Cell: 5.5992 5.5992 5.5992 Å, 90.00 90.00 90.00°
Last column: nearest neighbours and their distance in Å.
Space group Pm-3m (No. 221)
One atom of each set of equivalent atoms:
Cs 0.0000 0.0000 0.0000  12 Br 3.96
Tm 0.5000 0.5000 0.5000  6 Br 2.80
Br 0.0000 0.5000 0.5000  2 Tm 2.80

Values from the calculation:
Uncorrected formation energy, meV/atom: -1560
Size of the total moment, μB/cell: 0.00
Total energy, eV/atom: -3.629

Record 9
Here is a relaxed NaBPb crystal from Alexandria via LeMat-Bulk. Energies are from PBE.

Cell: 6.5090 7.6621 5.9777 Å, 90.00 90.00 90.00°
Last column: nearest neighbours and their distance in Å.
Space group Cmcm (No. 63)
One atom of each set of equivalent atoms:
Na 0.0000 0.1522 0.2500  2 B 3.06, 5 Pb 3.12-3.31
B 0.0000 0.5000 0.0000  2 Pb 2.33
Pb 0.0000 0.2671 0.7500  2 B 2.33

Values from the calculation:
E_form, eV per atom: 0.943
Size of the total moment, μB/cell: 0.00
Total energy, eV/atom: -2.958

Record 10
Here is a relaxed Tb5Sm2DySc crystal from Alexandria via LeMat-Bulk. Energies are from PBE.

Cell: 5.5535 20.0482 10.3836 Å, 90.00 90.00 90.00°
Last column: nearest neighbours and their distance in Å.
Space group Cmc2_1 (No. 36)
One atom of each set of equivalent atoms:
Tb 0.0000 0.0163 0.0000  2 Dy 3.22, 3 Sm 3.33-3.51, 1 Sc 3.58
Tb 0.0000 0.2748 0.3054  1 Dy 3.02, 1 Sm 3.25, 2 Tb 3.37
Tb 0.0000 0.2987 0.6881  1 Dy 3.35, 4 Tb 3.37-3.72, 2 Sc 3.40, 3 Sm 3.49-3.70
Tb 0.0000 0.3740 0.0043  4 Sm 3.52-3.58, 1 Sc 3.59, 4 Tb 3.61-3.71
Tb 0.0000 0.4831 0.7259  2 Dy 3.15-3.30, 2 Sm 3.46
Sm 0.0000 0.1127 0.2976  8 Tb 3.25-3.52, 1 Sc 3.51
Sm 0.0000 0.1149 0.7204  1 Sc 3.31, 7 Tb 3.49-3.70, 2 Dy 3.64
Dy 0.0000 0.4075 0.4431  6 Tb 3.02-3.35
Sc 0.0000 0.1950 0.9994  2 Sm 3.31-3.51, 7 Tb 3.40-3.59, 2 Dy 3.50

Values from the calculation:
E_form, eV per atom: 0.157
Size of the total moment, μB/cell: 0.00
Total energy, eV/atom: -4.679

Record 11
Here is a relaxed TbPrPtBr crystal from Alexandria via LeMat-Bulk. Energies are from PBE.

Cell: 4.1439 4.1439 23.4868 Å, 90.00 90.00 120.00°
Last column: nearest neighbours and their distance in Å.
Space group R3m (No. 160, hexagonal axes)
One atom of each set of equivalent atoms:
Tb 0.0000 0.0000 0.0000  3 Pt 2.80
Pr 0.0000 0.0000 0.2014  3 Pt 2.91
Pt 0.0000 0.0000 0.6050  3 Tb 2.80, 3 Pr 2.91
Br 0.0000 0.0000 0.4311  3 Tb 3.32, 3 Pr 3.41

Values from the calculation:
Uncorrected formation energy, meV/atom: -1231
Size of the total moment, μB/cell: 0.00
Total energy, eV/atom: -5.512

Record 12
Here is a relaxed CaNdGePt crystal from Alexandria via LeMat-Bulk. Energies are from PBE.

Cell: 7.2181 7.2181 7.2181 Å, 90.00 90.00 90.00°
Last column: nearest neighbours and their distance in Å.
Space group F-43m (No. 216)
One atom of each set of equivalent atoms:
Ca 0.0000 0.0000 0.0000  4 Ge 3.13, 4 Pt 3.13
Nd 0.0000 0.0000 0.5000  4 Pt 3.13, 4 Ge 3.13
Ge 0.2500 0.2500 0.2500  4 Nd 3.13, 4 Ca 3.13
Pt 0.2500 0.2500 0.7500  4 Ca 3.13, 4 Nd 3.13

Values from the calculation:
E_form, eV per atom: -0.786
Size of the total moment, μB/cell: 0.00
Total energy, eV/atom: -5.143

Number 1: calculated volume 10.05 A^3/atom. Number 2: calculated volume 33.37 A^3/atom. Number 3: calculated volume 15.96 A^3/atom. Number 4: calculated volume 21.41 A^3/atom. Number 5: calculated volume 24.95 A^3/atom. Number 6: calculated volume 23.22 A^3/atom. Number 7: calculated volume 21.34 A^3/atom. Number 8: calculated volume 35.11 A^3/atom. Number 9: calculated volume 24.84 A^3/atom. Number 10: calculated volume 32.11 A^3/atom. Number 11: calculated volume 29.11 A^3/atom. Number 12: calculated volume 23.50 A^3/atom.